This record from Alexandria describes a relaxed NaSc2Rh2 crystal. The functional is PBE-GGA.

```
NaSc2Rh2
1.0
7.7830 0.0000 0.0000
0.0000 7.7830 0.0000
0.0000 0.0000 3.1306
Sc Rh Na
4 4 2
Direct
0.1492 0.6492 0.5000
0.6492 0.8508 0.5000
0.3508 0.1492 0.5000
0.8508 0.3508 0.5000
0.3585 0.8585 0.0000
0.6415 0.1415 0.0000
0.1415 0.3585 0.0000
0.8585 0.6415 0.0000
0.5000 0.5000 0.0000
0.0000 0.0000 0.0000
```

Computed properties:
excess energy over the best structure of this formula in the dataset = 0.00 eV per formula unit
D(E_F) = 4.53 states/eV per cell
symmetry = P4/mbm
energy relative to the elements = -0.56 eV per atom
E_tot = -0.2314 Ha/atom